# TiCoP2O8

TiCoP2O8 after structural relaxation (PBE with a Hubbard U, Alexandria).

## Properties
Symmetry = P2_1/m, No. 11
Spin magnetization = 0.250 μB per atom
DOS at the Fermi energy = 0.000 states/eV/atom
Energy = -7.5289 eV/atom

```
TiCoP2O8
1.0
-1.469 4.683 0.424
-4.405 -1.032 -3.866
-5.922 -2.713 7.472
P O Co Ti
4 16 2 2
Direct
0.434 0.250 0.403
0.876 0.750 0.096
0.566 0.750 0.597
0.124 0.250 0.904
0.822 0.250 0.859
0.710 0.956 0.669
0.277 0.448 0.831
0.290 0.044 0.331
0.723 0.552 0.169
0.740 0.250 0.391
0.710 0.544 0.669
0.723 0.948 0.169
0.358 0.250 0.555
0.642 0.750 0.445
0.290 0.456 0.331
0.277 0.052 0.831
0.260 0.750 0.609
0.178 0.750 0.141
0.157 0.250 0.055
0.843 0.750 0.945
0.040 0.750 0.772
0.960 0.250 0.228
0.458 0.750 0.274
0.542 0.250 0.726
```

# RbInMoO5

RbInMoO5 after structural relaxation (PBE with a Hubbard U, Alexandria).

## Properties
Symmetry = C2/c, No. 15
Spin magnetization = 0.000 μB per atom
DOS at the Fermi energy = 0.000 states/eV/atom
Energy = -6.1019 eV/atom

```
RbInMoO5
1.0
6.468 -0.034 0.056
-1.920 6.176 0.056
-1.816 -2.454 6.965
In O Mo Rb
2 10 2 2
Direct
0.000 0.000 0.000
0.000 0.000 0.500
0.066 0.934 0.250
0.887 0.302 0.117
0.698 0.113 0.383
0.593 0.771 0.911
0.407 0.229 0.089
0.771 0.593 0.411
0.302 0.887 0.617
0.934 0.066 0.750
0.229 0.407 0.589
0.113 0.698 0.883
0.309 0.691 0.750
0.691 0.309 0.250
0.333 0.667 0.250
0.667 0.333 0.750
```

Repeat the second record exactly.
# RbInMoO5

RbInMoO5 after structural relaxation (PBE with a Hubbard U, Alexandria).

## Properties
Symmetry = C2/c, No. 15
Spin magnetization = 0.000 μB per atom
DOS at the Fermi energy = 0.000 states/eV/atom
Energy = -6.1019 eV/atom

```
RbInMoO5
1.0
6.468 -0.034 0.056
-1.920 6.176 0.056
-1.816 -2.454 6.965
In O Mo Rb
2 10 2 2
Direct
0.000 0.000 0.000
0.000 0.000 0.500
0.066 0.934 0.250
0.887 0.302 0.117
0.698 0.113 0.383
0.593 0.771 0.911
0.407 0.229 0.089
0.771 0.593 0.411
0.302 0.887 0.617
0.934 0.066 0.750
0.229 0.407 0.589
0.113 0.698 0.883
0.309 0.691 0.750
0.691 0.309 0.250
0.333 0.667 0.250
0.667 0.333 0.750
```

Q: What is the formula in the second record?
A: RbInMoO5